# Cs2KRb | Alexandria | PBE | optimized geometry
# ΔE to the lowest computed polymorph, eV/f.u.: 0.01
# E_tot, eV per atom: -0.94
# Formation energy, meV per atom: 5
# DOS(E_F), states/eV/atom: 0.90
# M_tot, μB/cell: 0.00
data_Cs2KRb
_cell_length_a 7.7938
_cell_length_b 7.7938
_cell_length_c 6.3990
_cell_angle_alpha 90.00
_cell_angle_beta 90.00
_cell_angle_gamma 90.00
_space_group_name_H-M_alt 'P 4/m m m'
_space_group_IT_number 123
_space_group_name_Hall '-P 4 2'
loop_
_atom_site_label
_atom_site_type_symbol
_atom_site_fract_x
_atom_site_fract_y
_atom_site_fract_z
Cs1 Cs 0.0000 0.5000 0.0000
K1 K 0.0000 0.0000 0.5000
Rb1 Rb 0.5000 0.5000 0.5000


# PuNb2S | Alexandria | PBE | optimized geometry
# Uncorrected formation energy, eV/atom: 0.07
# E_tot, eV per atom: -9.58
# DOS(E_F), states/eV/atom: 1.95
# M_tot, μB/cell: 16.91
data_PuNb2S
_cell_length_a 3.1265
_cell_length_b 3.1265
_cell_length_c 27.6966
_cell_angle_alpha 90.00
_cell_angle_beta 90.00
_cell_angle_gamma 120.00
_space_group_name_H-M_alt 'R -3 m'
_space_group_IT_number 166
_space_group_name_Hall '-R 3 2"'
loop_
_atom_site_label
_atom_site_type_symbol
_atom_site_fract_x
_atom_site_fract_y
_atom_site_fract_z
Pu1 Pu 0.0000 0.0000 0.0000
Nb1 Nb 0.0000 0.0000 0.1016
S1 S 0.0000 0.0000 0.5000


# TbEr3Zr | Alexandria | PBE | optimized geometry
# ΔE to the lowest computed polymorph, eV/f.u.: 0.00
# E_tot, eV per atom: -5.31
# Formation energy, meV per atom: 60
# DOS(E_F), states/eV/atom: 1.32
# M_tot, μB/cell: 0.00
data_TbEr3Zr
_cell_length_a 3.4363
_cell_length_b 9.1376
_cell_length_c 9.7798
_cell_angle_alpha 74.35
_cell_angle_beta 89.96
_cell_angle_gamma 79.16
_space_group_name_H-M_alt 'P -1'
_space_group_IT_number 2
_space_group_name_Hall '-P 1'
loop_
_atom_site_label
_atom_site_type_symbol
_atom_site_fract_x
_atom_site_fract_y
_atom_site_fract_z
Tb1 Tb 0.1029 0.2933 0.0586
Er1 Er 0.1073 0.2868 0.5458
Er2 Er 0.2958 0.9076 0.1584
Er3 Er 0.4968 0.5049 0.7489
Zr1 Zr 0.2960 0.9087 0.6371


- Which value of DOS(E_F) does entry 3 give?
  1.32 states/eV/atom